Material: AlCrF2
Method: DFT, GGA+U
State: optimized geometry

Structure (CIF):
```
data_AlCrF2
_chemical_formula_sum 'Al1 Cr1 F2'
_cell_length_a 4.321
_cell_length_b 4.321
_cell_length_c 4.321
_cell_angle_alpha 60.00
_cell_angle_beta 60.00
_cell_angle_gamma 60.00
_symmetry_space_group_name_H-M 'P 1'
_symmetry_Int_Tables_number 1
_symmetry_space_group_name_Hall 'P 1'
loop_
_atom_site_label
_atom_site_fract_x
_atom_site_fract_y
_atom_site_fract_z
Cr1 0.500 0.500 0.500
Al1 0.000 0.000 0.000
F1 0.250 0.250 0.250
F2 0.750 0.750 0.750
```

Calculated values
VASP energy ... -19.48 eV for the cell shown
Total magnetic moment ... 5.0 μB/cell
Space group ... No. 225
Energy relative to the lowest polymorph listed for this composition ... 413 meV per atom